(1)
Density functional theory data (PBEsol) for ReNi2HgAs after structural relaxation.

Cell and atoms, written as CIF:
```
data_ReNi2HgAs
_symmetry_space_group_name_H-M 'P 4/m m m'
_symmetry_Int_Tables_number 123
_symmetry_space_group_name_Hall '-P 4 2'
_cell_length_a 4.5835
_cell_length_b 4.5835
_cell_length_c 4.8617
_cell_angle_alpha 90.00
_cell_angle_beta 90.00
_cell_angle_gamma 90.00
loop_
_atom_site_label
_atom_site_type_symbol
_atom_site_fract_x
_atom_site_fract_y
_atom_site_fract_z
Re1 Re 0.0000 0.0000 0.0000
Ni1 Ni 0.0000 0.5000 0.5000
Hg1 Hg 0.5000 0.5000 0.5000
As1 As 0.5000 0.5000 0.0000
```

Output
Volume in Å³ per cell: 102.14
DOS(E_F) in states/eV/cell: 5.71
Crystal system: tetragonal
Formation enthalpy at 0 K in eV per atom: 2.127

(2)
Density functional theory data (PBEsol) for MgAlS2 after structural relaxation.

Cell and atoms, written as CIF:
```
data_MgAlS2
_symmetry_space_group_name_H-M 'I -4 2 d'
_symmetry_Int_Tables_number 122
_symmetry_space_group_name_Hall 'I -4 2bw'
_cell_length_a 5.5549
_cell_length_b 5.5549
_cell_length_c 11.1585
_cell_angle_alpha 90.00
_cell_angle_beta 90.00
_cell_angle_gamma 90.00
loop_
_atom_site_label
_atom_site_type_symbol
_atom_site_fract_x
_atom_site_fract_y
_atom_site_fract_z
Mg1 Mg 0.0000 0.0000 0.0000
Al1 Al 0.0000 0.0000 0.5000
S1 S 0.2284 0.2500 0.6250
```

Output
Volume in Å³ per cell: 344.32
DOS(E_F) in states/eV/cell: 10.72
Crystal system: tetragonal
Formation energy (no corrections) in meV/atom: -809

Question: The highest volume belongs to which entry?
Answer: MgAlS2

Question: Which value of volume does entry 2 give?
Answer: 344.32 Å³ per cell

Copy entry 2 word for word.
Density functional theory data (PBEsol) for MgAlS2 after structural relaxation.

Cell and atoms, written as CIF:
```
data_MgAlS2
_symmetry_space_group_name_H-M 'I -4 2 d'
_symmetry_Int_Tables_number 122
_symmetry_space_group_name_Hall 'I -4 2bw'
_cell_length_a 5.5549
_cell_length_b 5.5549
_cell_length_c 11.1585
_cell_angle_alpha 90.00
_cell_angle_beta 90.00
_cell_angle_gamma 90.00
loop_
_atom_site_label
_atom_site_type_symbol
_atom_site_fract_x
_atom_site_fract_y
_atom_site_fract_z
Mg1 Mg 0.0000 0.0000 0.0000
Al1 Al 0.0000 0.0000 0.5000
S1 S 0.2284 0.2500 0.6250
```

Output
Volume in Å³ per cell: 344.32
DOS(E_F) in states/eV/cell: 10.72
Crystal system: tetragonal
Formation energy (no corrections) in meV/atom: -809